Density functional theory data (PBE) for a relaxed BeFe2B crystal.

a = 6.1897 Å, b = 6.1897 Å, c = 4.8128 Å
α = 49.98°, β = 49.98°, γ = 90.00°
Each line ends with the local moment (μB).
Atoms (fractional coordinates):
Be1 0.5000 0.5000 0.0000  -0.03
Be2 0.2500 0.7500 0.5000  -0.03
Fe1 0.0426 0.6250 0.2500  0.65
Fe2 0.8750 0.9574 0.7500  0.65
Fe3 0.7074 0.1250 0.2500  0.66
Fe4 0.3750 0.2926 0.7500  0.67
B1 0.7500 0.2500 0.5000  -0.05
B2 0.0000 0.0000 0.0000  -0.05

Properties
Volume, Å³ per cell: 77
Total magnetization, Bohr magnetons per cell: 2.42
D(E_F), states/eV/cell: 3.97
Distance to the lowest polymorph of the same formula, meV/atom: 396
Calculated density, g/cm3: 5.70
Energy of formation, eV per atom: 0.22